Density functional theory data (PBE) for a relaxed NdTmAl2Au4 crystal.

Lattice parameters (Å, degrees): 4.601 4.601 9.434 75.89 75.89 60.00
Fractional positions:
Au 0.882 0.882 0.353
Au 0.118 0.118 0.647
Al 0.244 0.244 0.269
Au 0.393 0.393 0.822
Al 0.756 0.756 0.731
Tm 0.500 0.500 0.500
Nd 0.000 0.000 0.000
Au 0.607 0.607 0.178

Calculated values
As for the density of states at the Fermi level: 4.604 states/eV/cell. The volume is 165.9 Å³ per cell. The space-group type is No. 166. The energy of formation from the pure elements comes out at -5.604 eV/f.u. The energy comes out at -35.4 eV/cell. The calculation puts the spin magnetization at 0.0 Bohr magnetons per cell.